# GdBRh3 (PBE, optimized geometry)
data_GdBRh3
_chemical_formula_sum 'Gd1 B1 Rh3'
_space_group_name_H-M_alt 'P m -3 m'
_space_group_IT_number 221
_space_group_name_Hall '-P 4 2 3'
_cell_length_a 4.2239
_cell_length_b 4.2239
_cell_length_c 4.2239
_cell_angle_alpha 90.00
_cell_angle_beta 90.00
_cell_angle_gamma 90.00
loop_
_atom_site_label
_atom_site_fract_x
_atom_site_fract_y
_atom_site_fract_z
_atom_site_occupancy
Gd1 0.0000 0.0000 0.0000 1
B1 0.5000 0.5000 0.5000 1
Rh1 0.0000 0.5000 0.5000 1
# energy of formation	-0.759	eV per atom
# total magnetic moment	6.90	μB/f.u.
# calculated total energy	-46.6	eV for the cell shown

=====

# MgCoMo2 (PBE, optimized geometry)
data_MgCoMo2
_chemical_formula_sum 'Mg2 Co2 Mo4'
_space_group_name_H-M_alt 'I m m m'
_space_group_IT_number 71
_space_group_name_Hall '-I 2 2'
_cell_length_a 3.0866
_cell_length_b 4.2542
_cell_length_c 9.0309
_cell_angle_alpha 90.00
_cell_angle_beta 90.00
_cell_angle_gamma 90.00
loop_
_atom_site_label
_atom_site_fract_x
_atom_site_fract_y
_atom_site_fract_z
_atom_site_occupancy
Mg1 0.0000 0.0000 0.0000 1
Co1 0.0000 0.0000 0.5000 1
Mo1 0.0000 0.5000 0.2361 1
# energy of formation	0.183	eV per atom
# total magnetic moment	0.54	μB/f.u.
# calculated total energy	-59.3	eV for the cell shown

=====

# VSi5Tc6 (PBE, optimized geometry)
data_VSi5Tc6
_chemical_formula_sum 'V2 Si10 Tc12'
_space_group_name_H-M_alt 'I m m m'
_space_group_IT_number 71
_space_group_name_Hall '-I 2 2'
_cell_length_a 4.2277
_cell_length_b 5.9449
_cell_length_c 12.6147
_cell_angle_alpha 90.00
_cell_angle_beta 90.00
_cell_angle_gamma 90.00
loop_
_atom_site_label
_atom_site_fract_x
_atom_site_fract_y
_atom_site_fract_z
_atom_site_occupancy
V1 0.0000 0.0000 0.0000 1
Si1 0.0000 0.0000 0.3319 1
Si2 0.0000 0.5000 0.0000 1
Si3 0.0000 0.5000 0.3421 1
Tc1 0.0000 0.2411 0.5000 1
Tc2 0.0000 0.2571 0.1710 1
# raw formation energy	-0.455	eV per atom
# total magnetic moment	0.00	μB/f.u.
# calculated total energy	-207.8	eV for the cell shown

=====

# TaTi2SnH (PBE, optimized geometry)
data_TaTi2SnH
_chemical_formula_sum 'Ta1 Ti2 Sn1 H1'
_space_group_name_H-M_alt 'P 4/m m m'
_space_group_IT_number 123
_space_group_name_Hall '-P 4 2'
_cell_length_a 4.3645
_cell_length_b 4.3645
_cell_length_c 3.8531
_cell_angle_alpha 90.00
_cell_angle_beta 90.00
_cell_angle_gamma 90.00
loop_
_atom_site_label
_atom_site_fract_x
_atom_site_fract_y
_atom_site_fract_z
_atom_site_occupancy
Ta1 0.0000 0.0000 0.0000 1
Ti1 0.0000 0.5000 0.5000 1
Sn1 0.5000 0.5000 0.0000 1
H1 0.0000 0.0000 0.5000 1
# total magnetic moment	0.00	μB/f.u.
# calculated total energy	-36.5	eV for the cell shown